First-principles (PBE) data for a relaxed LiCdAu5 crystal, as listed in Alexandria.

Calculated values
For the size of the total moment, the calculation gives 0.0 μB/f.u. For the volume, the calculation gives 195.2 Å³/f.u. Its crystal system is orthorhombic. The formation energy comes out at 0.13 eV/atom. The total energy comes out at -2.62 eV per atom. Its energy above the most stable polymorph in this dataset is 7.72 kcal/mol of atoms.

Unit cell a=7.5582 b=9.5143 c=5.4292 alpha=90.00 beta=90.00 gamma=90.00
Closest atoms and distances in Å follow each position.
Sites, in units of the cell vectors:
Li 0.0000 0.0000 0.0000  4 Au 2.85-3.13
Li 0.5000 0.5000 0.5000  4 Au 2.85-3.13
Cd 0.0000 0.5000 0.6795  6 Au 2.70-2.91
Cd 0.5000 0.0000 0.1795  6 Au 2.70-2.91
Au 0.0000 0.2447 0.3850  3 Au 2.67-2.73, 1 Cd 2.91
Au 0.0000 0.5000 0.1829  4 Au 2.67-2.69, 2 Cd 2.70-2.73
Au 0.0000 0.7553 0.3850  3 Au 2.67-2.73, 1 Cd 2.91
Au 0.1819 0.0000 0.4600  4 Au 2.69-2.75, 1 Cd 2.85, 1 Li 2.85
Au 0.3181 0.5000 0.9600  4 Au 2.69-2.75, 1 Cd 2.85, 1 Li 2.85
Au 0.5000 0.0000 0.6829  4 Au 2.67-2.69, 2 Cd 2.70-2.73
Au 0.5000 0.2553 0.8850  3 Au 2.67-2.73, 1 Cd 2.91
Au 0.5000 0.7447 0.8850  3 Au 2.67-2.73, 1 Cd 2.91
Au 0.6819 0.5000 0.9600  4 Au 2.69-2.75, 1 Cd 2.85, 1 Li 2.85
Au 0.8181 0.0000 0.4600  4 Au 2.69-2.75, 1 Cd 2.85, 1 Li 2.85